1.
Material: CrIn2W
Method: DFT, PBE
State: optimized geometry

Total magnetization, μB/f.u.: 3.01
Calculated formation energy, eV/atom: 0.61
Space-group type: No. 139

POSCAR file:
```
CrIn2W
1.0
5.170 -0.010 0.000
1.882 4.816 0.000
-3.526 -2.403 2.920
In W Cr
2 1 1
direct
0.500 0.500 0.000
0.000 0.000 0.000
0.250 0.750 0.500
0.750 0.250 0.500
```

***

2.
Material: Cr3InW
Method: DFT, PBE
State: optimized geometry

Total magnetization, μB/f.u.: 7.24
Calculated formation energy, eV/atom: 1.38
Space-group type: No. 221

POSCAR file:
```
Cr3InW
1.0
-1.768 -4.350 0.153
4.319 -1.774 -0.516
0.535 -0.053 4.667
Cr W In
3 1 1
direct
0.500 0.000 0.000
0.000 0.500 0.000
0.000 0.000 0.500
0.000 0.000 0.000
0.500 0.500 0.500
```

***

3.
Material: Cr2InW
Method: DFT, PBE
State: optimized geometry

Total magnetization, μB/f.u.: 1.95
Calculated formation energy, eV/atom: 0.55
Space-group type: No. 119

POSCAR file:
```
Cr2InW
1.0
5.082 0.124 0.000
2.204 4.581 0.000
-3.643 -2.353 2.653
Cr W In
2 1 1
direct
0.000 0.000 0.000
0.250 0.750 0.500
0.750 0.250 0.500
0.500 0.500 0.000
```

***

4.
Material: CrIn2W
Method: DFT, PBE
State: optimized geometry

Total magnetization, μB/f.u.: 0.00
Calculated formation energy, eV/atom: 0.52
Space-group type: No. 35

POSCAR file:
```
CrIn2W
1.0
-0.006 -1.813 -2.321
-1.636 -0.935 2.263
-7.692 4.672 -3.629
In W Cr
2 1 1
direct
0.000 0.000 0.964
0.500 0.500 0.275
0.000 0.000 0.539
0.500 0.500 0.722
```

***

5.
Material: CrInW
Method: DFT, PBE
State: optimized geometry

Total magnetization, μB/f.u.: 0.94
Calculated formation energy, eV/atom: 0.90
Space-group type: No. 216

POSCAR file:
```
CrInW
1.0
-3.944 -0.130 1.699
-0.497 -0.414 4.248
-1.447 3.310 2.326
Cr W In
1 1 1
direct
0.750 0.750 0.750
0.500 0.500 0.500
0.000 0.000 0.000
```

***

6.
Material: CrInW
Method: DFT, PBE
State: optimized geometry

Total magnetization, μB/f.u.: 0.00
Calculated formation energy, eV/atom: 0.38
Space-group type: No. 107

POSCAR file:
```
CrInW
1.0
0.001 2.551 -4.696
-0.662 -1.887 -4.956
-1.887 -0.011 5.000
W Cr In
1 1 1
direct
0.642 0.642 0.000
0.019 0.019 0.000
0.338 0.338 0.000
```

***

7.
Material: CrIn2W
Method: DFT, PBE
State: optimized geometry

Total magnetization, μB/f.u.: 1.83
Calculated formation energy, eV/atom: 0.64
Space-group type: No. 119

POSCAR file:
```
CrIn2W
1.0
5.169 0.093 0.000
1.792 4.849 0.000
-3.480 -2.471 2.917
Cr W In
1 1 2
direct
0.750 0.250 0.500
0.500 0.500 0.000
0.250 0.750 0.500
0.000 0.000 0.000
```

***

8.
Material: CrIn2W
Method: DFT, PBE
State: optimized geometry

Total magnetization, μB/f.u.: 1.04
Calculated formation energy, eV/atom: 0.54
Space-group type: No. 44

POSCAR file:
```
CrIn2W
1.0
5.563 0.011 -0.001
2.604 4.916 0.001
-3.547 -3.353 2.669
Cr In W
1 2 1
direct
0.276 0.776 0.500
0.739 0.239 0.500
0.018 0.018 0.000
0.467 0.467 0.000
```

***

9.
Material: CrInW
Method: DFT, PBE
State: optimized geometry

Total magnetization, μB/f.u.: 0.09
Calculated formation energy, eV/atom: 0.49
Space-group type: No. 42

POSCAR file:
```
CrInW
1.0
-1.472 6.479 -2.654
-3.741 5.712 -1.072
1.789 1.835 1.291
W Cr In
1 1 1
direct
0.650 0.650 0.350
0.011 0.011 0.989
0.338 0.338 0.662
```

***

10.
Material: CrInW
Method: DFT, PBE
State: optimized geometry

Total magnetization, μB/f.u.: 0.00
Calculated formation energy, eV/atom: 0.51
Space-group type: No. 156

POSCAR file:
```
CrInW
1.0
-3.236 -2.787 1.297
3.958 -1.618 -1.279
0.920 0.162 2.643
In Cr W
1 1 1
direct
0.333 0.667 0.303
0.000 0.000 0.962
0.667 0.333 0.735
```

***

11.
Material: CrIn2W
Method: DFT, PBE
State: optimized geometry

Total magnetization, μB/f.u.: 2.54
Calculated formation energy, eV/atom: 1.04
Space-group type: No. 122

POSCAR file:
```
CrIn2W
1.0
-6.710 -3.406 0.116
0.300 -0.845 -7.472
-1.929 -4.627 -3.344
Cr In W
2 4 2
direct
0.500 0.500 0.000
0.250 0.750 0.500
0.375 0.384 0.750
0.134 0.625 0.250
0.616 0.125 0.250
0.875 0.866 0.750
0.750 0.250 0.500
0.000 0.000 0.000
```

***

12.
Material: CrIn2W
Method: DFT, PBE
State: optimized geometry

Total magnetization, μB/f.u.: 3.76
Calculated formation energy, eV/atom: 0.60
Space-group type: No. 123

POSCAR file:
```
CrIn2W
1.0
2.944 0.041 0.000
-0.044 2.944 0.000
0.000 0.000 8.568
In Cr W
2 1 1
direct
0.000 0.000 0.995
0.000 0.000 0.505
0.500 0.500 0.750
0.500 0.500 0.250
```

***

no.,calculated volume (Å³/f.u.)
1,73
2,104
3,61
4,77
5,56
6,49
7,73
8,73
9,50
10,48
11,80
12,74